#w
A plane-wave DFT calculation with PBE was carried out for crystalline CrH2Pt2 at its relaxed geometry.

Computed properties:
mass density	14.0	g cm⁻³
volume	105.5	Å³/cell

abc: 3.3323 3.3323 9.5041
angles: 90.00 90.00 90.00
Space group I4/mmm (No. 139)
Inequivalent atoms, fractional coordinates:
Cr 0.0000 0.0000 0.0000 [2 per cell]
H 0.0000 0.5000 0.2500 [4 per cell]
Pt 0.0000 0.0000 0.3548 [4 per cell]

#x
A plane-wave DFT calculation with PBE was carried out for crystalline CrH2Pt2 at its relaxed geometry.

Computed properties:
mass density	13.5	g cm⁻³
volume	109.2	Å³/cell

abc: 5.4028 5.4028 3.7414
angles: 90.00 90.00 90.00
Space group P4/mbm (No. 127)
Inequivalent atoms, fractional coordinates:
Cr 0.0000 0.0000 0.0000 [2 per cell]
H 0.1727 0.3273 0.0000 [4 per cell]
Pt 0.1820 0.3180 0.5000 [4 per cell]

Stability, lowest: #w

#w
A plane-wave DFT calculation with PBE was carried out for crystalline Cr2HPt at its relaxed geometry.

Computed properties:
mass density	10.4	g cm⁻³
volume	190.9	Å³/cell

abc: 5.7579 5.7579 5.7579
angles: 90.00 90.00 90.00
Space group Fm-3m (No. 225)
Inequivalent atoms, fractional coordinates:
Cr 0.2500 0.2500 0.2500 [8 per cell]
H 0.0000 0.0000 0.0000 [4 per cell]
Pt 0.0000 0.0000 0.5000 [4 per cell]

#x
A plane-wave DFT calculation with PBE was carried out for crystalline Cr2HPt at its relaxed geometry.

Computed properties:
mass density	12.2	g cm⁻³
volume	122.7	Å³/cell

abc: 2.7042 2.7042 19.3793
angles: 90.00 90.00 120.00
Space group R-3m (No. 166, hexagonal axes)
Inequivalent atoms, fractional coordinates:
Cr 0.0000 0.0000 0.2202 [6 per cell]
H 0.0000 0.0000 0.5000 [3 per cell]
Pt 0.0000 0.0000 0.0000 [3 per cell]

#y
A plane-wave DFT calculation with PBE was carried out for crystalline Cr2HPt at its relaxed geometry.

Computed properties:
mass density	11.3	g cm⁻³
volume	175.8	Å³/cell

abc: 4.9972 4.9972 7.0390
angles: 90.00 90.00 90.00
Space group I4_1/amd (No. 141, origin choice 2)
Inequivalent atoms, fractional coordinates:
Cr 0.0000 0.0000 0.0000 [8 per cell]
H 0.0000 0.2500 0.8750 [4 per cell]
Pt 0.0000 0.2500 0.3750 [4 per cell]

Stability, lowest: #w